# 1
# CaTbMg2, optimized geometry, DFT PBE
data_CaTbMg2
_symmetry_space_group_name_H-M 'P 1'
_symmetry_Int_Tables_number 1
_symmetry_space_group_name_Hall 'P 1'
_cell_length_a 3.819
_cell_length_b 5.522
_cell_length_c 5.522
_cell_angle_alpha 90.00
_cell_angle_beta 90.00
_cell_angle_gamma 90.00
loop_
_atom_site_label
_atom_site_fract_x
_atom_site_fract_y
_atom_site_fract_z
Ca1 0.500 0.500 0.500
Tb1 0.500 0.000 0.000
Mg1 0.000 0.000 0.500
Mg2 0.000 0.500 0.000
# ΔE_f = -0.31 eV per formula unit
# DOS(E_F) = 3.396 states/eV/cell
# E_tot = -2.533 eV per atom
# Crystal system = tetragonal


# 2
# Mg2GaOsO6, optimized geometry, DFT PBE
data_Mg2GaOsO6
_symmetry_space_group_name_H-M 'P 1'
_symmetry_Int_Tables_number 1
_symmetry_space_group_name_Hall 'P 1'
_cell_length_a 4.861
_cell_length_b 5.219
_cell_length_c 5.219
_cell_angle_alpha 90.00
_cell_angle_beta 90.00
_cell_angle_gamma 90.00
loop_
_atom_site_label
_atom_site_fract_x
_atom_site_fract_y
_atom_site_fract_z
Mg1 0.934 0.500 0.000
Mg2 0.934 0.000 0.500
Ga1 0.574 0.000 0.000
Os1 0.591 0.500 0.500
O1 0.745 0.253 0.253
O2 0.745 0.253 0.747
O3 0.228 0.500 0.500
O4 0.206 0.000 0.000
O5 0.745 0.747 0.747
O6 0.745 0.747 0.253
# DOS(E_F) = 3.206 states/eV/cell
# ΔE_f (raw) = -1501 meV/atom
# E_tot = -6.221 eV per atom
# Crystal system = tetragonal


# 3
# K5Ir, optimized geometry, DFT PBE
data_K5Ir
_symmetry_space_group_name_H-M 'P 1'
_symmetry_Int_Tables_number 1
_symmetry_space_group_name_Hall 'P 1'
_cell_length_a 7.251
_cell_length_b 7.251
_cell_length_c 5.635
_cell_angle_alpha 90.00
_cell_angle_beta 90.00
_cell_angle_gamma 120.00
loop_
_atom_site_label
_atom_site_fract_x
_atom_site_fract_y
_atom_site_fract_z
K1 0.731 0.000 0.000
K2 0.269 0.269 0.000
K3 0.000 0.731 0.000
K4 0.667 0.333 0.500
K5 0.333 0.667 0.500
Ir1 0.000 0.000 0.500
# ΔE_f = 3.34 eV per formula unit
# E above lowest polymorph = 0.027 eV/atom
# DOS(E_F) = 7.844 states/eV/cell
# E_tot = -1.835 eV per atom
# Crystal system = hexagonal


# 4
# IrC, optimized geometry, DFT PBE
data_IrC
_symmetry_space_group_name_H-M 'P 1'
_symmetry_Int_Tables_number 1
_symmetry_space_group_name_Hall 'P 1'
_cell_length_a 2.803
_cell_length_b 2.803
_cell_length_c 3.833
_cell_angle_alpha 90.00
_cell_angle_beta 90.00
_cell_angle_gamma 120.00
loop_
_atom_site_label
_atom_site_fract_x
_atom_site_fract_y
_atom_site_fract_z
C1 0.000 0.000 0.500
Ir1 0.000 0.000 0.000
# ΔE_f = 2.58 eV per formula unit
# E above lowest polymorph = 0.832 eV/atom
# DOS(E_F) = 2.609 states/eV/cell
# E_tot = -7.752 eV per atom
# Crystal system = hexagonal


# 5
# TbNdHo2S6, optimized geometry, DFT PBE
data_TbNdHo2S6
_symmetry_space_group_name_H-M 'P 1'
_symmetry_Int_Tables_number 1
_symmetry_space_group_name_Hall 'P 1'
_cell_length_a 6.978
_cell_length_b 6.978
_cell_length_c 7.380
_cell_angle_alpha 61.78
_cell_angle_beta 61.78
_cell_angle_gamma 59.99
loop_
_atom_site_label
_atom_site_fract_x
_atom_site_fract_y
_atom_site_fract_z
Tb1 0.315 0.315 0.056
Nd1 0.810 0.810 0.570
Ho1 0.517 0.517 0.449
Ho2 0.014 0.014 0.957
S1 0.619 0.224 0.246
S2 0.224 0.910 0.246
S3 0.910 0.619 0.246
S4 0.397 0.722 0.748
S5 0.722 0.133 0.748
S6 0.133 0.397 0.748
# DOS(E_F) = 0.000 states/eV/cell
# ΔE_f (raw) = -2048 meV/atom
# E_tot = -6.380 eV per atom
# Crystal system = trigonal


# 6
# Er2Tl2InSe6, optimized geometry, DFT PBE
data_Er2Tl2InSe6
_symmetry_space_group_name_H-M 'P 1'
_symmetry_Int_Tables_number 1
_symmetry_space_group_name_Hall 'P 1'
_cell_length_a 7.129
_cell_length_b 7.129
_cell_length_c 7.874
_cell_angle_alpha 98.88
_cell_angle_beta 98.88
_cell_angle_gamma 120.08
loop_
_atom_site_label
_atom_site_fract_x
_atom_site_fract_y
_atom_site_fract_z
Er1 0.330 0.670 0.500
Er2 0.670 0.330 0.500
Tl1 0.830 0.170 0.000
Tl2 0.170 0.830 0.000
In1 0.000 0.000 0.500
Se1 0.747 0.747 0.702
Se2 0.073 0.406 0.712
Se3 0.253 0.253 0.298
Se4 0.406 0.073 0.712
Se5 0.927 0.594 0.288
Se6 0.594 0.927 0.288
# DOS(E_F) = 4.207 states/eV/cell
# ΔE_f (raw) = -1053 meV/atom
# E_tot = -4.462 eV per atom
# Crystal system = monoclinic


# 7
# Na2TaNbHg, optimized geometry, DFT PBE
data_Na2TaNbHg
_symmetry_space_group_name_H-M 'P 1'
_symmetry_Int_Tables_number 1
_symmetry_space_group_name_Hall 'P 1'
_cell_length_a 5.027
_cell_length_b 5.241
_cell_length_c 5.027
_cell_angle_alpha 90.00
_cell_angle_beta 90.00
_cell_angle_gamma 90.00
loop_
_atom_site_label
_atom_site_fract_x
_atom_site_fract_y
_atom_site_fract_z
Na1 0.000 0.000 0.500
Na2 0.500 0.000 0.000
Nb1 0.000 0.000 0.000
Hg1 0.000 0.500 0.000
Ta1 0.500 0.500 0.500
# ΔE_f = 11.38 eV per formula unit
# DOS(E_F) = 6.383 states/eV/cell
# E_tot = -2.696 eV per atom
# Crystal system = tetragonal


# 8
# HfTaRh6, optimized geometry, DFT PBE
data_HfTaRh6
_symmetry_space_group_name_H-M 'P 1'
_symmetry_Int_Tables_number 1
_symmetry_space_group_name_Hall 'P 1'
_cell_length_a 9.162
_cell_length_b 9.162
_cell_length_c 6.509
_cell_angle_alpha 111.32
_cell_angle_beta 132.91
_cell_angle_gamma 104.95
loop_
_atom_site_label
_atom_site_fract_x
_atom_site_fract_y
_atom_site_fract_z
Hf1 0.000 0.000 0.500
Hf2 0.500 0.500 0.500
Ta1 0.000 0.500 0.000
Ta2 0.500 0.000 0.000
Rh1 0.160 0.707 0.867
Rh2 0.840 0.293 0.133
Rh3 0.836 0.794 0.630
Rh4 0.164 0.206 0.370
Rh5 0.793 0.084 0.640
Rh6 0.207 0.916 0.360
Rh7 0.556 0.847 0.640
Rh8 0.444 0.153 0.360
Rh9 0.436 0.656 0.855
Rh10 0.564 0.344 0.145
Rh11 0.801 0.581 0.145
Rh12 0.199 0.419 0.855
# ΔE_f = -3.47 eV per formula unit
# DOS(E_F) = 16.178 states/eV/cell
# E_tot = -8.673 eV per atom
# Crystal system = monoclinic


# 9
# Zr2SbPb, optimized geometry, DFT PBE
data_Zr2SbPb
_symmetry_space_group_name_H-M 'P 1'
_symmetry_Int_Tables_number 1
_symmetry_space_group_name_Hall 'P 1'
_cell_length_a 5.096
_cell_length_b 5.096
_cell_length_c 5.096
_cell_angle_alpha 60.00
_cell_angle_beta 60.00
_cell_angle_gamma 60.00
loop_
_atom_site_label
_atom_site_fract_x
_atom_site_fract_y
_atom_site_fract_z
Pb1 0.500 0.500 0.500
Sb1 0.000 0.000 0.000
Zr1 0.250 0.250 0.250
Zr2 0.750 0.750 0.750
# E above lowest polymorph = 0.125 eV/atom
# DOS(E_F) = 4.459 states/eV/cell
# ΔE_f (raw) = -219 meV/atom
# E_tot = -6.451 eV per atom
# Crystal system = cubic


# 10
# MgAg2Os, optimized geometry, DFT PBE
data_MgAg2Os
_symmetry_space_group_name_H-M 'P 1'
_symmetry_Int_Tables_number 1
_symmetry_space_group_name_Hall 'P 1'
_cell_length_a 4.998
_cell_length_b 4.998
_cell_length_c 4.998
_cell_angle_alpha 132.42
_cell_angle_beta 132.42
_cell_angle_gamma 69.57
loop_
_atom_site_label
_atom_site_fract_x
_atom_site_fract_y
_atom_site_fract_z
Ag1 0.000 0.000 0.000
Ag2 0.250 0.750 0.500
Mg1 0.500 0.500 0.000
Os1 0.750 0.250 0.500
# ΔE_f = 1.95 eV per formula unit
# DOS(E_F) = 2.572 states/eV/cell
# E_tot = -4.144 eV per atom
# Crystal system = tetragonal


# 11
# MgReB2, optimized geometry, DFT PBE
data_MgReB2
_symmetry_space_group_name_H-M 'P 1'
_symmetry_Int_Tables_number 1
_symmetry_space_group_name_Hall 'P 1'
_cell_length_a 5.007
_cell_length_b 5.007
_cell_length_c 6.342
_cell_angle_alpha 66.75
_cell_angle_beta 66.75
_cell_angle_gamma 90.00
loop_
_atom_site_label
_atom_site_fract_x
_atom_site_fract_y
_atom_site_fract_z
Re1 0.000 0.000 0.000
Re2 0.750 0.250 0.500
Mg1 0.500 0.500 0.000
Mg2 0.250 0.750 0.500
B1 0.705 0.125 0.250
B2 0.045 0.625 0.250
B3 0.375 0.295 0.750
B4 0.875 0.955 0.750
# ΔE_f = 2.99 eV per formula unit
# DOS(E_F) = 2.272 states/eV/cell
# E_tot = -6.102 eV per atom
# Crystal system = tetragonal


# 12
# Zr2AlV, optimized geometry, DFT PBE
data_Zr2AlV
_symmetry_space_group_name_H-M 'P 1'
_symmetry_Int_Tables_number 1
_symmetry_space_group_name_Hall 'P 1'
_cell_length_a 5.533
_cell_length_b 4.963
_cell_length_c 5.666
_cell_angle_alpha 90.00
_cell_angle_beta 100.48
_cell_angle_gamma 90.00
loop_
_atom_site_label
_atom_site_fract_x
_atom_site_fract_y
_atom_site_fract_z
Al1 0.828 0.071 0.318
Al2 0.172 0.571 0.682
Zr1 0.362 0.070 0.484
Zr2 0.638 0.570 0.516
Zr3 0.069 0.582 0.164
Zr4 0.931 0.082 0.836
V1 0.534 0.787 0.987
V2 0.466 0.287 0.013
# ΔE_f = -0.57 eV per formula unit
# DOS(E_F) = 9.494 states/eV/cell
# E_tot = -7.632 eV per atom
# Crystal system = monoclinic


# 13
# SnTeCl, optimized geometry, DFT PBE
data_SnTeCl
_symmetry_space_group_name_H-M 'P 1'
_symmetry_Int_Tables_number 1
_symmetry_space_group_name_Hall 'P 1'
_cell_length_a 4.723
_cell_length_b 4.519
_cell_length_c 11.412
_cell_angle_alpha 90.16
_cell_angle_beta 92.65
_cell_angle_gamma 118.60
loop_
_atom_site_label
_atom_site_fract_x
_atom_site_fract_y
_atom_site_fract_z
Sn1 0.856 0.426 0.251
Sn2 0.144 0.574 0.749
Te1 0.182 0.090 0.398
Te2 0.818 0.910 0.602
Cl1 0.654 0.330 0.874
Cl2 0.346 0.670 0.126
# DOS(E_F) = 0.064 states/eV/cell
# ΔE_f (raw) = -493 meV/atom
# E_tot = -3.490 eV per atom
# Crystal system = triclinic